Li9Mn2Co5O16 GGA+U optimized geometry; ΔE to the lowest computed polymorph = 25 meV/atom; size of the total moment = 14.0 Bohr magnetons per cell; Fermi-level density of states = 4.63 states/eV/cell; ρ = 4.3 g/cm³; symmetry = No. 5
1.0
5.038 -2.920 0.000
5.038 2.920 0.000
-1.711 0.000 9.592
Li Mn Co O
9 2 5 16
Cartesian
0.000 0.000 0.000 Li
2.524 1.506 7.234 Li
-0.036 -0.008 7.258 Li
5.841 1.506 2.358 Li
3.349 -0.008 2.352 Li
5.016 -0.008 7.240 Li
2.524 -1.475 7.204 Li
5.841 -1.475 2.387 Li
8.401 -0.008 2.334 Li
5.038 -0.001 0.000 Mn
4.182 -1.478 4.796 Mn
2.519 1.457 0.008 Co
1.667 -0.018 4.799 Co
4.182 1.445 4.796 Co
5.845 1.457 9.584 Co
6.698 -0.018 4.793 Co
-0.042 0.064 3.664 O
2.423 1.445 3.688 O
4.144 1.374 1.058 O
1.806 -0.010 0.993 O
1.750 0.006 8.467 O
4.221 1.374 8.534 O
5.941 1.445 5.904 O
3.374 -0.109 5.896 O
2.578 -1.481 3.688 O
4.990 -0.109 3.696 O
4.136 -1.377 1.034 O
6.614 0.006 1.125 O
6.559 -0.010 8.599 O
4.229 -1.377 8.558 O
8.407 0.064 5.928 O
5.787 -1.481 5.904 O